Record 1
Here is a relaxed Nd2Sm4Y5 crystal from Alexandria via LeMat-Bulk. Energies are from PBE.

a = 3.489 Å, b = 8.849 Å, c = 12.217 Å
α = 96.18°, β = 98.21°, γ = 90.00°
Atoms (fractional coordinates):
Y 0.500 0.000 0.000
Sm 0.954 0.640 0.908
Nd 0.090 0.738 0.180
Y 0.768 0.174 0.536
Sm 0.678 0.471 0.357
Y 0.141 0.117 0.283
Y 0.859 0.883 0.717
Sm 0.322 0.529 0.643
Nd 0.910 0.262 0.820
Sm 0.046 0.360 0.092
Y 0.232 0.826 0.464

Calculated values
Magnetization ... 0.000 μB per cell
Offset from the most stable computed form ... 15 meV/atom
E ... -59.2 eV/f.u.
Energy of formation ... 0.14 eV/atom
Space-group type ... C2/m

Record 2
Here is a relaxed Nd4SmY10 crystal from Alexandria via LeMat-Bulk. Energies are from PBE.

a = 10.636 Å, b = 8.755 Å, c = 8.755 Å
α = 68.35°, β = 52.59°, γ = 52.59°
Atoms (fractional coordinates):
Y 0.451 0.095 0.323
Nd 0.933 0.401 0.733
Y 0.870 0.905 0.677
Nd 0.334 0.733 0.599
Y 0.775 0.677 0.095
Sm 0.000 0.000 0.000
Y 0.549 0.905 0.677
Y 0.750 0.500 0.500
Y 0.547 0.323 0.905
Y 0.250 0.500 0.500
Y 0.130 0.095 0.323
Nd 0.666 0.267 0.401
Y 0.225 0.323 0.905
Nd 0.067 0.599 0.267
Y 0.453 0.677 0.095

Calculated values
Magnetization ... 0.000 μB per cell
E ... -83.2 eV/f.u.
Energy of formation ... 0.35 eV/atom
Space-group type ... I4/m